VASP calculation (PBE-GGA) on Ba2PbW after structural relaxation.

Lattice parameters (Å, degrees): 11.7868 11.7868 8.7710 47.78 47.78 90.00
Last column: magnetic moment on the atom in μB.
Element x y z (fractional)
Ba  0.8750  0.7083  0.7500  0.07
Pb  0.0000  0.0000  0.0000  -0.05
Pb  0.7500  0.2500  0.5000  -0.05
Ba  0.2917  0.6250  0.2500  0.06
W  0.5000  0.5000  0.0000  1.33
Ba  0.4583  0.1250  0.2500  0.06
W  0.2500  0.7500  0.5000  1.33
Ba  0.3750  0.5417  0.7500  0.07

Values from the calculation:
* space group: I-42d, No. 122
* total energy: -4.312 eV/atom

---

VASP calculation (PBE-GGA) on BaPbW2 after structural relaxation.

Lattice parameters (Å, degrees): 3.4242 4.2547 7.2499 90.00 90.00 90.00
Element x y z (fractional)
Ba  0.5000  0.5000  0.2500
W  0.0000  0.0000  0.9106
Pb  0.5000  0.5000  0.7500
W  0.0000  0.0000  0.5894

Values from the calculation:
* space group: Pmmm, No. 47
* total energy: -6.689 eV/atom

---

VASP calculation (PBE-GGA) on BaPbW after structural relaxation.

Lattice parameters (Å, degrees): 5.4373 5.4373 5.4373 60.00 60.00 60.00
Last column: magnetic moment on the atom in μB.
Element x y z (fractional)
W  0.5000  0.5000  0.5000  2.90
Pb  0.0000  0.0000  0.0000  -0.19
Ba  0.7500  0.7500  0.7500  0.07

Values from the calculation:
* ΔE to the lowest computed polymorph: 937 meV per atom
* space group: F-43m, No. 216
* total energy: -4.374 eV/atom

---

VASP calculation (PBE-GGA) on BaPbW2 after structural relaxation.

Lattice parameters (Å, degrees): 6.4766 6.4766 6.4766 149.59 129.15 60.41
Element x y z (fractional)
Pb  0.2205  0.7205  0.5000
W  0.8042  0.3042  0.5000
W  0.9605  0.9605  0.0000
Ba  0.5148  0.5148  0.0000

Values from the calculation:
* space group: Imm2, No. 44
* total energy: -6.864 eV/atom

---

VASP calculation (PBE-GGA) on BaPbW after structural relaxation.

Lattice parameters (Å, degrees): 6.7354 6.7342 6.7342 147.40 147.40 46.78
Element x y z (fractional)
Pb  0.7154  0.7154  0.0000
Ba  0.9946  0.9946  0.0000
W  0.2900  0.2900  0.0000

Values from the calculation:
* ΔE to the lowest computed polymorph: 0 meV per atom
* space group: I4mm, No. 107
* total energy: -5.310 eV/atom

---

VASP calculation (PBE-GGA) on Ba2PbW after structural relaxation.

Lattice parameters (Å, degrees): 6.8204 6.8204 6.8204 144.46 129.91 62.91
Last column: magnetic moment on the atom in μB.
Element x y z (fractional)
Ba  0.7262  0.2262  0.5000  0.01
Ba  0.0306  0.0306  0.0000  0.03
Pb  0.4515  0.4515  0.0000  -0.05
W  0.2917  0.7917  0.5000  1.42

Values from the calculation:
* space group: Imm2, No. 44
* total energy: -4.440 eV/atom

---

VASP calculation (PBE-GGA) on BaPbW2 after structural relaxation.

Lattice parameters (Å, degrees): 6.5361 6.5361 6.5361 154.16 128.31 58.67
Element x y z (fractional)
Pb  0.2500  0.7500  0.5000
Ba  0.7500  0.2500  0.5000
W  0.0238  0.0238  0.0000
W  0.4762  0.4762  0.0000

Values from the calculation:
* space group: Immm, No. 71
* total energy: -6.415 eV/atom

---

VASP calculation (PBE-GGA) on BaPbW2 after structural relaxation.

Lattice parameters (Å, degrees): 8.5051 8.5051 6.7020 50.62 50.62 90.00
Element x y z (fractional)
Ba  0.2500  0.7500  0.5000
W  0.8750  0.9228  0.7500
W  0.6728  0.1250  0.2500
Ba  0.5000  0.5000  0.0000
Pb  0.7500  0.2500  0.5000
W  0.0772  0.6250  0.2500
W  0.3750  0.3272  0.7500
Pb  0.0000  0.0000  0.0000

Values from the calculation:
* space group: I-42d, No. 122
* total energy: -5.927 eV/atom

---

VASP calculation (PBE-GGA) on Ba2PbW after structural relaxation.

Lattice parameters (Å, degrees): 5.6670 5.6670 5.6670 120.02 120.02 89.97
Last column: magnetic moment on the atom in μB.
Element x y z (fractional)
Pb  0.5000  0.5000  0.0000  -0.06
Ba  0.2500  0.7500  0.5000  0.02
W  0.7500  0.2500  0.5000  2.51
Ba  0.0000  0.0000  0.0000  0.21

Values from the calculation:
* space group: F-43m, No. 216
* total energy: -4.257 eV/atom

---

VASP calculation (PBE-GGA) on BaPb4W after structural relaxation.

Lattice parameters (Å, degrees): 6.5008 6.5008 6.5008 60.00 60.00 60.00
Last column: magnetic moment on the atom in μB.
Element x y z (fractional)
Pb  0.8722  0.3759  0.3759  -0.06
W  0.7500  0.7500  0.7500  2.75
Pb  0.3759  0.3759  0.3759  -0.06
Pb  0.3759  0.3759  0.8722  -0.06
Pb  0.3759  0.8722  0.3759  -0.06
Ba  0.0000  0.0000  0.0000  -0.01

Values from the calculation:
* space group: F-43m, No. 216
* total energy: -4.223 eV/atom

---

VASP calculation (PBE-GGA) on Ba2PbW after structural relaxation.

Lattice parameters (Å, degrees): 12.2206 12.2206 12.2206 16.28 16.28 16.28
Element x y z (fractional)
W  0.7500  0.7500  0.7500
Ba  0.0091  0.0091  0.0091
Ba  0.4909  0.4909  0.4909
Pb  0.2500  0.2500  0.2500

Values from the calculation:
* space group: R-3m, No. 166
* total energy: -4.144 eV/atom

---

VASP calculation (PBE-GGA) on BaPbW2 after structural relaxation.

Lattice parameters (Å, degrees): 5.8606 5.8606 5.8606 135.89 135.89 64.15
Element x y z (fractional)
Ba  0.2500  0.7500  0.5000
W  0.5000  0.5000  0.0000
W  0.0000  0.0000  0.0000
Pb  0.7500  0.2500  0.5000

Values from the calculation:
* space group: I4/mmm, No. 139
* total energy: -6.167 eV/atom

---

VASP calculation (PBE-GGA) on Ba2PbW after structural relaxation.

Lattice parameters (Å, degrees): 3.3634 3.3634 11.0989 90.00 90.00 89.99
Element x y z (fractional)
Ba  0.0000  0.0000  0.9784
W  0.5000  0.5000  0.7500
Ba  0.0000  0.0000  0.5216
Pb  0.5000  0.5000  0.2500

Values from the calculation:
* space group: P4/mmm, No. 123
* total energy: -4.325 eV/atom

---

VASP calculation (PBE-GGA) on BaPbW2 after structural relaxation.

Lattice parameters (Å, degrees): 5.2805 3.4092 6.4043 83.89 90.00 90.00
Element x y z (fractional)
W  0.0000  0.9628  0.8882
Pb  0.5000  0.7500  0.7500
Ba  0.5000  0.2500  0.2500
W  0.0000  0.5372  0.6118

Values from the calculation:
* space group: P2/m, No. 10
* total energy: -6.840 eV/atom

---

VASP calculation (PBE-GGA) on BaPbW4 after structural relaxation.

Lattice parameters (Å, degrees): 5.6449 5.6449 5.6449 60.00 60.00 60.00
Element x y z (fractional)
Pb  0.0000  0.0000  0.0000
Ba  0.7500  0.7500  0.7500
W  0.3773  0.3773  0.3773
W  0.3773  0.8681  0.3773
W  0.8681  0.3773  0.3773
W  0.3773  0.3773  0.8681

Values from the calculation:
* space group: F-43m, No. 216
* total energy: -8.526 eV/atom

---

Number 1: DOS(E_F) 3.7 states/eV/f.u., V 47.5 Å³/atom, energy relative to the elements 815 meV/atom. Number 2: DOS(E_F) 4.3 states/eV/f.u., V 26.4 Å³/atom, energy relative to the elements 1195 meV/atom. Number 3: DOS(E_F) 2.4 states/eV/f.u., V 37.9 Å³/atom, energy relative to the elements 1821 meV/atom. Number 4: DOS(E_F) 3.5 states/eV/f.u., V 26.4 Å³/atom, energy relative to the elements 1020 meV/atom. Number 5: DOS(E_F) 2.1 states/eV/f.u., V 29.5 Å³/atom, energy relative to the elements 884 meV/atom. Number 6: DOS(E_F) 2.8 states/eV/f.u., V 35.0 Å³/atom, energy relative to the elements 687 meV/atom. Number 7: DOS(E_F) 3.5 states/eV/f.u., V 23.7 Å³/atom, energy relative to the elements 1470 meV/atom. Number 8: DOS(E_F) 6.3 states/eV/f.u., V 26.7 Å³/atom, energy relative to the elements 1958 meV/atom. Number 9: DOS(E_F) 4.0 states/eV/f.u., V 32.2 Å³/atom, energy relative to the elements 869 meV/atom. Number 10: DOS(E_F) 6.4 states/eV/f.u., V 32.4 Å³/atom, energy relative to the elements 729 meV/atom. Number 11: DOS(E_F) 3.1 states/eV/f.u., V 31.3 Å³/atom, energy relative to the elements 983 meV/atom. Number 12: DOS(E_F) 6.0 states/eV/f.u., V 24.0 Å³/atom, energy relative to the elements 1718 meV/atom. Number 13: DOS(E_F) 2.4 states/eV/f.u., V 31.4 Å³/atom, energy relative to the elements 801 meV/atom. Number 14: DOS(E_F) 3.7 states/eV/f.u., V 28.7 Å³/atom, energy relative to the elements 1044 meV/atom. Number 15: DOS(E_F) 5.3 states/eV/f.u., V 21.2 Å³/atom, energy relative to the elements 1048 meV/atom.